Computed, not measured: an optimized crystal structure of BaLiNiO3 at the PBE with a Hubbard U level of DFT.

## Properties
**Mass density**: 4.678 g/cm³
**Electronic total energy**: -5.08 eV per atom
**Space-group type**: C2/m, No. 12
**Crystal system**: monoclinic

a = 5.7253 Å, b = 5.7253 Å, c = 6.4593 Å
α = 111.38°, β = 111.38°, γ = 70.00°
Last column: nearest neighbours and their distance in Å.
Positions (direct):
Ba 0.2033 0.2033 0.1484  5 O 2.69-2.91
Ba 0.7967 0.7967 0.8516  5 O 2.69-2.91
Li 0.1691 0.8309 0.5000  4 O 1.92-2.06
Li 0.8309 0.1691 0.5000  4 O 1.92-2.06
Ni 0.4117 0.4117 0.7406  3 O 1.74-1.81
Ni 0.5883 0.5883 0.2594  3 O 1.74-1.81
O 0.2047 0.2047 0.5991  1 Ni 1.74
O 0.2406 0.6804 0.2041  1 Ni 1.81, 1 Li 1.92
O 0.3196 0.7594 0.7959  1 Ni 1.81, 1 Li 1.92
O 0.6804 0.2406 0.2041  1 Ni 1.81, 1 Li 1.92
O 0.7594 0.3196 0.7959  1 Ni 1.81, 1 Li 1.92
O 0.7953 0.7953 0.4009  1 Ni 1.74